--- A ---
Li2BeIn: relaxed, PBE-GGA.

The structure belongs to space group Pmm2 (No. 25); the cell edges are 2.825, 4.412 and 5.173 Å and the angles 90.00°, 90.00° and 90.00°. The distinct sites, in fractional coordinates, are Li at (0.000, 0.000, 0.000), Li at (0.000, 0.500, 0.294), Be at (0.500, 0.500, 0.808) and In at (0.500, 0.000, 0.523).

For the size of the total moment, the calculation gives 0.0 μB/cell. As for the density: 3547 kg/m³. Its calculated volume is 16.12 Å³/atom.

---

--- B ---
Li2BeIn: relaxed, PBE-GGA.

The structure belongs to space group P2/m (No. 10); the cell edges are 2.862, 4.361 and 5.263 Å and the angles 90.00°, 101.99° and 90.00°. The distinct sites, in fractional coordinates, are Li at (0.055, 0.000, 0.268), Be at (0.500, 0.500, 0.500) and In at (0.500, 0.500, 0.000).

For the size of the total moment, the calculation gives 0.0 μB/cell. As for the density: 3559 kg/m³. Its calculated volume is 16.07 Å³/atom.

---

Ranking the structures above by energy, A is first and the second is 0.030 eV/atom behind.